Ho2Er2Zn, relaxed, DFT GGA-PBE; ΔE to the lowest computed polymorph = 133 meV per atom; calculated volume = 291.2 Å³/cell; ρ = 8.32 g/cm³; total DFT energy (no corrections) = -0.287 Ry/atom
1.0
-2.461 2.461 12.022
2.461 -2.461 12.022
2.461 2.461 -12.022
Ho Er Zn
4 4 2
direct
0.051 0.301 0.750
0.301 0.051 0.250
0.699 0.949 0.750
0.949 0.699 0.250
0.194 0.444 0.750
0.444 0.194 0.250
0.556 0.806 0.750
0.806 0.556 0.250
0.125 0.875 0.250
0.875 0.125 0.750

KBC, relaxed, DFT GGA-PBE; calculated volume = 35.2 Å³/cell; ρ = 2.92 g/cm³; total DFT energy (no corrections) = -0.396 Ry/atom
1.0
2.873 0.000 0.000
-1.437 2.488 0.000
0.000 0.000 4.920
K B C
1 1 1
direct
0.000 0.000 0.000
0.333 0.667 0.500
0.667 0.333 0.500

Here are the calculated E_form numbers, same order: 0.050 0.829 (eV per formula unit).